1.
Here is crystalline CrSb2Pt at its relaxed geometry from Alexandria. Energies are from PBE.

Summary:
The value obtained for the raw formation energy is 0.062 eV per atom. As for the energy above the lowest structure with this stoichiometry: 159 meV/atom.

Cell lengths 3.6048, 4.0222, 11.4206 Å; angles 90.00, 90.00, 90.00 degrees
Space group Imm2 (No. 44)
Asymmetric unit:
Cr (0.0000, 0.0000, 0.0000) [2 per cell]
Sb (0.0000, 0.0000, 0.5364) [2 per cell]
Sb (0.0000, 0.5000, 0.2953) [2 per cell]
Pt (0.0000, 0.5000, 0.7002) [2 per cell]


2.
Here is crystalline Sc2TiPd3 at its relaxed geometry from Alexandria. Energies are from PBE.

Summary:
The value obtained for the formation energy from the elements is -742 meV per atom.

Cell lengths 4.6423, 14.2724, 3.1644 Å; angles 90.00, 90.00, 90.00 degrees
Space group Pmmn (No. 59, origin choice 2)
Asymmetric unit:
Sc (0.2500, 0.0811, 0.0024) [4 per cell]
Ti (0.2500, 0.7500, 0.9976) [2 per cell]
Pd (0.2500, 0.2500, 0.5019) [2 per cell]
Pd (0.2500, 0.5994, 0.4973) [4 per cell]


3.
Here is crystalline Zr2AlH at its relaxed geometry from Alexandria. Energies are from PBE.

Summary:
As for the energy above the lowest structure with this stoichiometry: 0 meV/atom.

Cell lengths 5.5045, 10.4757, 5.2771 Å; angles 90.00, 120.59, 90.00 degrees
Space group C2/c (No. 15)
Asymmetric unit:
Zr (0.1683, 0.1254, 0.1003) [8 per cell]
Al (0.0000, 0.3838, 0.2500) [4 per cell]
H (0.0000, 0.2485, 0.7500) [4 per cell]


4.
Here is crystalline Cs2YGaCl6 at its relaxed geometry from Alexandria. Energies are from PBE.

Summary:
The value obtained for the raw formation energy is -1.906 eV per atom. As for the energy above the lowest structure with this stoichiometry: 5 meV/atom.

Cell lengths 11.1841, 11.1841, 11.1841 Å; angles 90.00, 90.00, 90.00 degrees
Space group Fm-3m (No. 225)
Asymmetric unit:
Cs (0.2500, 0.2500, 0.2500) [8 per cell]
Y (0.0000, 0.0000, 0.0000) [4 per cell]
Ga (0.0000, 0.0000, 0.5000) [4 per cell]
Cl (0.0000, 0.0000, 0.2367) [24 per cell]


5.
Here is crystalline Tb6SbP2Se3 at its relaxed geometry from Alexandria. Energies are from PBE.

Summary:
The value obtained for the raw formation energy is -1.667 eV per atom.

Cell lengths 18.0502, 4.1105, 8.3159 Å; angles 90.00, 103.40, 90.00 degrees
Space group C2/m (No. 12)
Asymmetric unit:
Tb (0.0089, 0.0000, 0.2639) [4 per cell]
Tb (0.1724, 0.5000, 0.1076) [4 per cell]
Tb (0.1731, 0.5000, 0.5730) [4 per cell]
Sb (0.0000, 0.5000, 0.0000) [2 per cell]
P (0.1681, 0.0000, 0.3368) [4 per cell]
Se (0.0000, 0.5000, 0.5000) [2 per cell]
Se (0.1632, 0.0000, 0.8336) [4 per cell]


6.
Here is crystalline Ba2CdPt at its relaxed geometry from Alexandria. Energies are from PBE.

Summary:
The value obtained for the formation energy from the elements is -498 meV per atom.

Cell lengths 4.0139, 4.0139, 8.2614 Å; angles 90.00, 90.00, 90.00 degrees
Space group P4/mmm (No. 123)
Asymmetric unit:
Ba (0.0000, 0.0000, 0.2206) [2 per cell]
Cd (0.5000, 0.5000, 0.5000) [1 per cell]
Pt (0.5000, 0.5000, 0.0000) [1 per cell]


7.
Here is crystalline LaTbHo3Th at its relaxed geometry from Alexandria. Energies are from PBE.

Summary:
The value obtained for the formation energy from the elements is 36 meV per atom.

Cell lengths 7.9998, 5.0695, 10.1716 Å; angles 90.00, 108.99, 90.00 degrees
Space group P2_1/m (No. 11)
Asymmetric unit:
La (0.1694, 0.2500, 0.2919) [2 per cell]
Tb (0.4988, 0.2500, 0.6294) [2 per cell]
Ho (0.1698, 0.7500, 0.5453) [2 per cell]
Ho (0.1758, 0.7500, 0.0417) [2 per cell]
Ho (0.1772, 0.2500, 0.7943) [2 per cell]
Th (0.4984, 0.7500, 0.8788) [2 per cell]


8.
Here is crystalline La3Nb at its relaxed geometry from Alexandria. Energies are from PBE.

Summary:
The value obtained for the formation energy from the elements is 345 meV per atom.

Cell lengths 4.9316, 4.9316, 9.6561 Å; angles 90.00, 90.00, 90.00 degrees
Space group I4/mmm (No. 139)
Asymmetric unit:
La (0.0000, 0.0000, 0.0000) [2 per cell]
La (0.0000, 0.5000, 0.2500) [4 per cell]
Nb (0.0000, 0.0000, 0.5000) [2 per cell]


9.
Here is crystalline KSnB at its relaxed geometry from Alexandria. Energies are from PBE.

Summary:
The value obtained for the formation energy from the elements is 249 meV per atom.

Cell lengths 5.2963, 5.5125, 10.5418 Å; angles 90.00, 90.00, 90.00 degrees
Space group Imm2 (No. 44)
Asymmetric unit:
K (0.0000, 0.0000, 0.0000) [2 per cell]
K (0.0000, 0.5000, 0.2489) [2 per cell]
Sn (0.0000, 0.0000, 0.4920) [2 per cell]
Sn (0.0000, 0.5000, 0.8139) [2 per cell]
B (0.0000, 0.3558, 0.6065) [4 per cell]


10.
Here is crystalline La3Dy2Tl4 at its relaxed geometry from Alexandria. Energies are from PBE.

Summary:
The value obtained for the formation energy from the elements is -323 meV per atom. As for the energy above the lowest structure with this stoichiometry: 0 meV/atom.

Cell lengths 9.4475, 5.4481, 10.6371 Å; angles 90.00, 90.10, 90.00 degrees
Space group C2/m (No. 12)
Asymmetric unit:
La (0.0000, 0.0000, 0.0000) [2 per cell]
La (0.1673, 0.5000, 0.5772) [4 per cell]
Dy (0.1661, 0.5000, 0.2183) [4 per cell]
Tl (0.0007, 0.0000, 0.6595) [4 per cell]
Tl (0.1670, 0.5000, 0.8970) [4 per cell]


11.
Here is crystalline BiCBr2 at its relaxed geometry from Alexandria. Energies are from PBE.

Summary:
The value obtained for the raw formation energy is 1.339 eV per atom. As for the energy above the lowest structure with this stoichiometry: 85 meV/atom.

Cell lengths 3.4735, 3.4735, 28.9476 Å; angles 90.00, 90.00, 120.00 degrees
Space group R-3m (No. 166, hexagonal axes)
Asymmetric unit:
Bi (0.0000, 0.0000, 0.0000) [3 per cell]
C (0.0000, 0.0000, 0.5000) [3 per cell]
Br (0.0000, 0.0000, 0.4378) [6 per cell]


12.
Here is crystalline Sm4SiSeBr2 at its relaxed geometry from Alexandria. Energies are from PBE.

Summary:
The value obtained for the raw formation energy is -1.282 eV per atom.

Cell lengths 7.3126, 4.2386, 7.5228 Å; angles 90.00, 109.28, 90.00 degrees
Space group P2/m (No. 10)
Asymmetric unit:
Sm (0.2246, 0.0000, 0.2083) [2 per cell]
Sm (0.2500, 0.5000, 0.7916) [2 per cell]
Si (0.0000, 0.5000, 0.0000) [1 per cell]
Se (0.5000, 0.0000, 0.0000) [1 per cell]
Br (0.0000, 0.0000, 0.5000) [1 per cell]
Br (0.5000, 0.5000, 0.5000) [1 per cell]


13.
Here is crystalline Ce2AlSnAu6 at its relaxed geometry from Alexandria. Energies are from PBE.

Summary:
The value obtained for the formation energy from the elements is -449 meV per atom.

Cell lengths 5.5035, 6.8168, 6.9717 Å; angles 79.84, 67.63, 70.46 degrees
Space group P-1 (No. 2)
Asymmetric unit:
Ce (0.0005, 0.2400, 0.2523) [2 per cell]
Al (0.5000, 0.5000, 0.0000) [1 per cell]
Sn (0.5000, 0.0000, 0.5000) [1 per cell]
Au (0.0024, 0.7437, 0.1954) [2 per cell]
Au (0.3563, 0.4294, 0.3985) [2 per cell]
Au (0.4886, 0.8236, 0.1604) [2 per cell]


14.
Here is crystalline TiTe2Br at its relaxed geometry from Alexandria. Energies are from PBE.

Summary:
The value obtained for the raw formation energy is 0.050 eV per atom. As for the energy above the lowest structure with this stoichiometry: 543 meV/atom.

Cell lengths 7.2741, 7.2741, 7.2741 Å; angles 90.00, 90.00, 90.00 degrees
Space group Fm-3m (No. 225)
Asymmetric unit:
Ti (0.0000, 0.0000, 0.0000) [4 per cell]
Te (0.2500, 0.2500, 0.2500) [8 per cell]
Br (0.0000, 0.0000, 0.5000) [4 per cell]


15.
Here is crystalline Dy2TmPt9 at its relaxed geometry from Alexandria. Energies are from PBE.

Summary:
The value obtained for the formation energy from the elements is -1055 meV per atom.

Cell lengths 4.1097, 4.1097, 12.3287 Å; angles 90.00, 90.00, 90.00 degrees
Space group P4/mmm (No. 123)
Asymmetric unit:
Dy (0.0000, 0.0000, 0.1673) [2 per cell]
Tm (0.0000, 0.0000, 0.5000) [1 per cell]
Pt (0.0000, 0.5000, 0.0000) [2 per cell]
Pt (0.0000, 0.5000, 0.3352) [4 per cell]
Pt (0.5000, 0.5000, 0.1676) [2 per cell]
Pt (0.5000, 0.5000, 0.5000) [1 per cell]


16.
Here is crystalline Mg12InSn3 at its relaxed geometry from Alexandria. Energies are from PBE.

Summary:
The value obtained for the formation energy from the elements is -121 meV per atom.

Cell lengths 4.4635, 4.4635, 18.1700 Å; angles 90.00, 90.00, 90.00 degrees
Space group P4/mmm (No. 123)
Asymmetric unit:
Mg (0.0000, 0.0000, 0.0000) [1 per cell]
Mg (0.0000, 0.0000, 0.2493) [2 per cell]
Mg (0.0000, 0.0000, 0.5000) [1 per cell]
Mg (0.0000, 0.5000, 0.1243) [4 per cell]
Mg (0.0000, 0.5000, 0.3743) [4 per cell]
In (0.5000, 0.5000, 0.5000) [1 per cell]
Sn (0.5000, 0.5000, 0.0000) [1 per cell]
Sn (0.5000, 0.5000, 0.2499) [2 per cell]


17.
Here is crystalline Ac14PrSc at its relaxed geometry from Alexandria. Energies are from PBE.

Summary:
The value obtained for the formation energy from the elements is 41 meV per atom.

Cell lengths 11.1693, 11.1203, 11.1193 Å; angles 90.00, 90.00, 90.00 degrees
Space group Amm2 (No. 38)
Asymmetric unit:
Ac (0.0000, 0.0000, 0.0001) [2 per cell]
Ac (0.0000, 0.0000, 0.5000) [2 per cell]
Ac (0.0000, 0.2492, 0.2501) [4 per cell]
Ac (0.2571, 0.0000, 0.7474) [4 per cell]
Ac (0.2582, 0.2473, 0.5001) [8 per cell]
Ac (0.2592, 0.0000, 0.2527) [4 per cell]
Ac (0.5000, 0.2489, 0.7500) [4 per cell]
Pr (0.5000, 0.0000, 0.0000) [2 per cell]
Sc (0.5000, 0.0000, 0.5004) [2 per cell]


18.
Here is crystalline LiSeBr2N at its relaxed geometry from Alexandria. Energies are from PBE.

Summary:
The value obtained for the raw formation energy is 0.503 eV per atom. As for the energy above the lowest structure with this stoichiometry: 0 meV/atom.

Cell lengths 4.7715, 4.7715, 4.4474 Å; angles 90.00, 90.00, 90.00 degrees
Space group P4/mmm (No. 123)
Asymmetric unit:
Li (0.0000, 0.0000, 0.0000) [1 per cell]
Se (0.5000, 0.5000, 0.0000) [1 per cell]
Br (0.0000, 0.5000, 0.5000) [2 per cell]
N (0.5000, 0.5000, 0.5000) [1 per cell]


19.
Here is crystalline NaHoRh at its relaxed geometry from Alexandria. Energies are from PBE.

Summary:
The value obtained for the formation energy from the elements is -209 meV per atom.

Cell lengths 8.0951, 4.6053, 8.7112 Å; angles 90.00, 107.46, 90.00 degrees
Space group C2/m (No. 12)
Asymmetric unit:
Na (0.1318, 0.0000, 0.4017) [4 per cell]
Ho (0.1235, 0.5000, 0.8707) [4 per cell]
Rh (0.2344, 0.5000, 0.2095) [4 per cell]


20.
Here is crystalline Dy6Bi2Rh at its relaxed geometry from Alexandria. Energies are from PBE.

Summary:
The value obtained for the formation energy from the elements is -529 meV per atom.

Cell lengths 6.4697, 7.9470, 12.0143 Å; angles 90.00, 120.54, 90.00 degrees
Space group P2_1/c (No. 14)
Asymmetric unit:
Dy (0.0971, 0.1880, 0.4603) [4 per cell]
Dy (0.3221, 0.6776, 0.4588) [4 per cell]
Dy (0.3800, 0.0210, 0.2491) [4 per cell]
Bi (0.1488, 0.1149, 0.7471) [4 per cell]
Rh (0.5000, 0.0000, 0.5000) [2 per cell]


| no. | DFT total energy (eV/cell) |
| --- | --- |
| 1 | -47.33 |
| 2 | -81.18 |
| 3 | -102.50 |
| 4 | -165.35 |
| 5 | -146.35 |
| 6 | -12.79 |
| 7 | -60.99 |
| 8 | -46.95 |
| 9 | -44.13 |
| 10 | -72.73 |
| 11 | -33.28 |
| 12 | -41.38 |
| 13 | -43.77 |
| 14 | -62.60 |
| 15 | -80.71 |
| 16 | -35.81 |
| 17 | -135.96 |
| 18 | -14.56 |
| 19 | -55.50 |
| 20 | -94.97 |